(1)
Pu2MnZn3: relaxed, PBE.

Cell lengths 5.1818, 5.1818, 5.5848 Å; angles 117.68, 117.68, 60.15 degrees
Fractional coordinates of all 6 atoms:
Pu 0.1372 0.1372 0.4119
Pu 0.8628 0.8628 0.5881
Mn 0.5000 0.5000 0.5000
Zn 0.0000 0.5000 0.0000
Zn 0.5000 0.0000 0.0000
Zn 0.5000 0.5000 0.0000

Values from the calculation:
**Formation energy from the elements**: -0.106 eV/atom
**Total magnetization**: 8.34 μB per formula unit

***

(2)
LaPr12Hg6: relaxed, PBE.

Cell lengths 8.4160, 8.4160, 8.4160 Å; angles 88.10, 88.10, 88.10 degrees
Fractional coordinates of all 19 atoms:
La 0.0000 0.0000 0.0000
Pr 0.0918 0.1248 0.3974
Pr 0.1248 0.3974 0.0918
Pr 0.1888 0.4667 0.5798
Pr 0.3974 0.0918 0.1248
Pr 0.4202 0.8112 0.5333
Pr 0.4667 0.5798 0.1888
Pr 0.5333 0.4202 0.8112
Pr 0.5798 0.1888 0.4667
Pr 0.6026 0.9082 0.8752
Pr 0.8112 0.5333 0.4202
Pr 0.8752 0.6026 0.9082
Pr 0.9082 0.8752 0.6026
Hg 0.1245 0.7471 0.2799
Hg 0.2529 0.7201 0.8755
Hg 0.2799 0.1245 0.7471
Hg 0.7201 0.8755 0.2529
Hg 0.7471 0.2799 0.1245
Hg 0.8755 0.2529 0.7201

Values from the calculation:
**Formation energy from the elements**: -0.204 eV/atom
**Total magnetization**: 0.00 μB per formula unit

***

(3)
Tb2Si2AgRh5: relaxed, PBE.

Cell lengths 9.8413, 9.8413, 3.4667 Å; angles 90.00, 90.00, 90.00 degrees
Fractional coordinates of all 20 atoms:
Tb 0.1745 0.3255 0.0000
Tb 0.3255 0.8255 0.0000
Tb 0.6745 0.1745 0.0000
Tb 0.8255 0.6745 0.0000
Si 0.1246 0.6246 0.0000
Si 0.3754 0.1246 0.0000
Si 0.6246 0.8754 0.0000
Si 0.8754 0.3754 0.0000
Ag 0.0000 0.0000 0.0000
Ag 0.5000 0.5000 0.0000
Rh 0.0000 0.5000 0.5000
Rh 0.0687 0.7836 0.5000
Rh 0.2164 0.0687 0.5000
Rh 0.2836 0.5687 0.5000
Rh 0.4313 0.2836 0.5000
Rh 0.5000 0.0000 0.5000
Rh 0.5687 0.7164 0.5000
Rh 0.7164 0.4313 0.5000
Rh 0.7836 0.9313 0.5000
Rh 0.9313 0.2164 0.5000

Values from the calculation:
**E_form (uncorrected)**: -0.822 eV per atom
**Total magnetization**: 0.00 μB per formula unit